Compound: Lu2Zr4Co3C3
Source: the Open Quantum Materials Database
Functional: PBE
Structure: relaxed

Computed properties:
ρ (g/cm3): 8.2
DFT total energy (eV/atom): -8.05

Lattice parameters (Å, degrees): 9.928 5.728 13.713 90.00 104.79 90.00
Space group C2/c (No. 15)
Inequivalent atoms, fractional coordinates:
Lu  0.041  0.083  0.382 x8
Zr  0.116  0.411  0.595 x8
Zr  0.220  0.419  0.905 x8
Co  0.000  0.422  0.750 x4
Co  0.245  0.159  0.750 x8
C  0.085  0.253  0.000 x8
C  0.250  0.250  0.500 x4

Compound: Co2Mo4C
Source: the Open Quantum Materials Database
Functional: PBE
Structure: relaxed

Computed properties:
ρ (g/cm3): 9.4
DFT total energy (eV/atom): -9.61

Lattice parameters (Å, degrees): 11.306 11.306 11.306 90.00 90.00 90.00
Space group Fd-3m (No. 227, origin choice 2)
Inequivalent atoms, fractional coordinates:
Co  0.044  0.044  0.206 x32
Mo  0.000  0.000  0.000 x16
Mo  0.063  0.375  0.875 x48
C  0.000  0.000  0.500 x16

Compound: Co3Mo3C
Source: the Open Quantum Materials Database
Functional: PBE
Structure: relaxed

Computed properties:
ρ (g/cm3): 9.3
DFT total energy (eV/atom): -9.02

Lattice parameters (Å, degrees): 11.067 11.067 11.067 90.00 90.00 90.00
Space group Fd-3m (No. 227, origin choice 2)
Inequivalent atoms, fractional coordinates:
Co  0.000  0.000  0.000 x16
Co  0.045  0.045  0.205 x32
Mo  0.076  0.375  0.875 x48
C  0.000  0.000  0.500 x16

Compound: CoMo2C
Source: the Open Quantum Materials Database
Functional: PBE
Structure: relaxed

Computed properties:
ρ (g/cm3): 8.8
DFT total energy (eV/atom): -9.34

Lattice parameters (Å, degrees): 3.0107 3.0107 12.6541 90.00 90.00 120.00
Space group P6_3/mmc (No. 194)
Inequivalent atoms, fractional coordinates:
Co  0.3333  0.6667  0.2500 x2
Mo  0.3333  0.6667  0.5937 x4
C  0.0000  0.0000  0.0000 x2